SrGeSe2: optimized geometry, GGA-PBE.

Lattice parameters (Å, degrees): 8.595 8.595 8.595 31.59 31.59 31.59
Atoms (fractional coordinates):
Sr (0.000, 0.000, 0.000)
Ge (0.500, 0.500, 0.500)
Se (0.398, 0.398, 0.398)
Se (0.602, 0.602, 0.602)

Computed properties:
E_tot (eV per atom): -3.929
Uncorrected formation energy (eV per atom): -0.6122